1.
Density functional theory data (PBE) for an optimized crystal structure of LaMoW2.

Unit cell a=4.6268 b=4.6268 c=5.9498 alpha=81.53 beta=81.53 gamma=39.99
Sites, in units of the cell vectors:
La (0.4997, 0.4997, 0.4955)
Mo (0.2738, 0.2738, 0.1983)
W (0.9993, 0.9993, 0.9988)
W (0.7272, 0.7272, 0.8073)

E above lowest polymorph, meV/atom: 257.0
Density of states at the Fermi level, states/eV per cell: 3.662
Space-group type: No. 8
Mass density, g cm⁻³: 12.376
Formation energy from the elements, kJ per mole of atoms: 67.3

2.
Density functional theory data (PBE) for an optimized crystal structure of LaMoW.

Unit cell a=6.3366 b=6.3366 c=6.3366 alpha=149.92 beta=149.92 gamma=43.05
Sites, in units of the cell vectors:
La (0.9999, 0.9999, 0.0000)
Mo (0.3036, 0.3036, 0.0000)
W (0.6965, 0.6965, 0.0000)

E above lowest polymorph, meV/atom: 0.0
Density of states at the Fermi level, states/eV per cell: 3.749
Space-group type: No. 107
Mass density, g cm⁻³: 10.908
Formation energy from the elements, kJ per mole of atoms: 40.7